First-principles (PBE) data for a relaxed structure of Tm2AlSn, as listed in the Alexandria database.

Uncorrected energy, eV/atom: -4.73
Symmetry: P2_1/m (11)

Cell: 4.1454 5.9577 8.8686 Å, 112.05 90.00 90.00°
Sites, in units of the cell vectors:
1 Tm 0.7500 0.2155 0.4340
2 Tm 0.2500 0.7845 0.5660
3 Tm 0.7500 0.2294 0.9273
4 Tm 0.2500 0.7706 0.0727
5 Al 0.2500 0.3358 0.7086
6 Al 0.7500 0.6642 0.2914
7 Sn 0.2500 0.3308 0.2091
8 Sn 0.7500 0.6692 0.7909



First-principles (PBE) data for a relaxed structure of Np2TePt, as listed in the Alexandria database.

Uncorrected energy, eV/atom: -9.21
Symmetry: P4/mmm (123)

Cell: 3.6444 3.6444 7.1423 Å, 90.00 90.00 90.00°
Sites, in units of the cell vectors:
1 Np 0.0000 0.0000 0.2220
2 Np 0.0000 0.0000 0.7780
3 Te 0.5000 0.5000 0.5000
4 Pt 0.5000 0.5000 0.0000



First-principles (PBE) data for a relaxed structure of Cs2CaPd, as listed in the Alexandria database.

Energy relative to the lowest polymorph listed for this composition, eV/atom: 0.000
Symmetry: I-42d (122)

Cell: 9.9368 9.9368 9.9368 Å, 94.48 94.48 147.52°
Sites, in units of the cell vectors:
1 Ca 0.7500 0.2500 0.5000
2 Ca 0.5000 0.5000 0.0000
3 Cs 0.6250 0.9682 0.8432
4 Cs 0.0318 0.8750 0.6568
5 Cs 0.2182 0.3750 0.3432
6 Cs 0.1250 0.7818 0.1568
7 Pd 0.0000 0.0000 0.0000
8 Pd 0.2500 0.7500 0.5000



First-principles (PBE) data for a relaxed structure of LaSi3H, as listed in the Alexandria database.

Energy relative to the lowest polymorph listed for this composition, eV/atom: 1.734
Symmetry: Pm-3m (221)

Cell: 5.6676 5.6676 5.6676 Å, 90.00 90.00 90.00°
Sites, in units of the cell vectors:
1 Si 0.0000 0.5000 0.0000
2 Si 0.0000 0.0000 0.5000
3 Si 0.5000 0.0000 0.0000
4 H 0.5000 0.5000 0.5000
5 La 0.0000 0.0000 0.0000



| no. | D(E_F) (states/eV/f.u.) |
| --- | --- |
| 1 | 3.038 |
| 2 | 12.758 |
| 3 | 2.966 |
| 4 | 3.643 |